Here is a relaxed La4Tb10Ho crystal from Alexandria via LeMat-Bulk. Energies are from PBE.

Output
DFT formation energy, meV/atom: 351
E, eV per atom: -4.355

```
15
Lattice="-4.9211 4.9211 5.3393 4.9211 -4.9211 5.3393 4.9211 4.9211 -5.3393" Properties=species:S:1:pos:R:3 pbc="T T T"
La 3.2815 0.6298 0.0000
La 4.2912 -1.6396 5.3393
La 0.6298 6.5607 0.0000
La 1.6396 4.2912 5.3393
Tb 6.0412 2.8714 -1.7205
Tb 2.8714 3.8010 -1.7205
Tb 4.9211 0.0000 2.6696
Tb 2.0497 1.1201 3.6188
Tb 6.0412 2.8714 1.7205
Tb -1.1201 2.0497 3.6188
Tb 2.8714 3.8010 1.7205
Tb 0.0000 4.9211 2.6696
Tb 2.0497 1.1201 7.0598
Tb -1.1201 2.0497 7.0598
Ho 0.0000 0.0000 0.0000
```

Here is a relaxed TmAl4Ge crystal from Alexandria via LeMat-Bulk. Energies are from PBE.

Output
DFT formation energy, meV/atom: -139
E, eV per atom: -4.149

```
6
Lattice="0.0000 3.8504 3.8504 3.8504 0.0000 3.8504 3.8504 3.8504 0.0000" Properties=species:S:1:pos:R:3 pbc="T T T"
Tm 0.0000 0.0000 0.0000
Al 2.8876 2.8876 2.8876
Al 4.8132 4.8132 2.8876
Al 4.8132 2.8876 4.8132
Al 2.8876 4.8132 4.8132
Ge 5.7756 5.7756 5.7756
```

Here is a relaxed CsSb2TeAs crystal from Alexandria via LeMat-Bulk. Energies are from PBE.

Output
E, eV per atom: -1.754

```
5
Lattice="8.1334 0.0000 0.0000 0.0000 8.1334 0.0000 0.0000 0.0000 7.4688" Properties=species:S:1:pos:R:3 pbc="T T T"
Cs 0.0000 0.0000 0.0000
Sb 0.0000 4.0667 0.0000
Sb 4.0667 0.0000 0.0000
Te 0.0000 0.0000 3.7344
As 4.0667 4.0667 3.7344
```

Here is a relaxed Zr3Os2 crystal from Alexandria via LeMat-Bulk. Energies are from PBE.

Output
DFT formation energy, meV/atom: -192
E, eV per atom: -9.813

```
10
Lattice="0.0000 4.7487 7.0160 2.8460 0.0000 7.0160 2.8460 4.7487 0.0000" Properties=species:S:1:pos:R:3 pbc="T T T"
Zr 0.7115 1.1872 0.1719
Zr 0.7115 1.1872 3.3361
Zr 2.1345 3.5615 5.2620
Zr 3.5574 5.9359 8.7700
Zr 4.9804 8.3102 10.6958
Zr 4.9804 8.3102 13.8601
Os 2.1345 3.5615 2.4957
Os 3.5574 5.9359 6.0036
Os 2.1345 3.5615 8.0283
Os 3.5574 5.9359 11.5363
```

Here is a relaxed SmInRhAu crystal from Alexandria via LeMat-Bulk. Energies are from PBE.

Output
DFT formation energy, meV/atom: -600
E, eV per atom: -5.121

```
8
Lattice="8.1732 0.0000 0.0000 0.0000 4.7070 0.0000 -2.7333 0.0000 4.4950" Properties=species:S:1:pos:R:3 pbc="T T T"
Sm 0.0000 0.0000 0.0000
Sm 4.0866 2.3535 0.0000
In 2.7184 0.0000 2.0025
In 6.8050 2.3535 2.0025
Rh 1.3571 2.3535 1.6058
Rh 5.4437 0.0000 1.6058
Au -0.0079 0.0000 3.0353
Au 4.0786 2.3535 3.0353
```

Here is a relaxed YAl2Ga4 crystal from Alexandria via LeMat-Bulk. Energies are from PBE.

Output
DFT formation energy, meV/atom: 14
E, eV per atom: -3.708

```
7
Lattice="3.9904 0.0000 0.0000 0.0000 3.9904 0.0000 0.0000 0.0000 9.5567" Properties=species:S:1:pos:R:3 pbc="T T T"
Y 0.0000 0.0000 0.0000
Al 0.0000 1.9952 4.7784
Al 1.9952 0.0000 4.7784
Ga 1.0252 1.0252 2.5029
Ga 1.0252 2.9652 7.0538
Ga 2.9652 1.0252 7.0538
Ga 2.9652 2.9652 2.5029
```

Here is a relaxed ScPd3Au3 crystal from Alexandria via LeMat-Bulk. Energies are from PBE.

Output
DFT formation energy, meV/atom: -467
E, eV per atom: -5.002

```
14
Lattice="7.6035 0.0000 0.0000 -3.8018 6.5849 0.0000 0.0000 0.0000 4.7574" Properties=species:S:1:pos:R:3 pbc="T T T"
Sc 0.0000 4.3899 1.1894
Sc 3.8018 2.1950 3.5681
Pd -0.5484 1.5888 1.1894
Pd -2.1516 6.2654 1.1894
Pd 1.1017 1.2694 3.5681
Pd 2.7000 5.3155 1.1894
Pd 5.9533 0.3195 3.5681
Pd 4.3502 4.9960 3.5681
Au -1.0650 3.0662 3.5681
Au -0.6138 5.9741 3.5681
Au 2.1229 2.4554 1.1894
Au 1.6789 4.1294 3.5681
Au 4.4156 0.6108 1.1894
Au 4.8668 3.5186 1.1894
```

Here is a relaxed TlHgPd crystal from Alexandria via LeMat-Bulk. Energies are from PBE.

Output
DFT formation energy, meV/atom: -51
E, eV per atom: -2.671

```
12
Lattice="6.6282 0.0000 0.0000 0.0000 6.6282 0.0000 0.0000 0.0000 6.6282" Properties=species:S:1:pos:R:3 pbc="T T T"
Tl 0.0000 0.0000 0.0000
Tl 0.0000 3.3141 3.3141
Tl 3.3141 0.0000 3.3141
Tl 3.3141 3.3141 0.0000
Hg 0.0000 0.0000 3.3141
Hg 0.0000 3.3141 0.0000
Hg 3.3141 0.0000 0.0000
Hg 3.3141 3.3141 3.3141
Pd 1.6571 1.6571 1.6571
Pd 1.6571 4.9712 4.9712
Pd 4.9712 1.6571 4.9712
Pd 4.9712 4.9712 1.6571
```

The highest E belongs to which entry? CsSb2TeAs

Which formula does entry 5 have? SmInRhAu

Which value of E does entry 2 give? -4.149 eV per atom

Please write out number 5 again, unchanged.
Here is a relaxed SmInRhAu crystal from Alexandria via LeMat-Bulk. Energies are from PBE.

Output
DFT formation energy, meV/atom: -600
E, eV per atom: -5.121

```
8
Lattice="8.1732 0.0000 0.0000 0.0000 4.7070 0.0000 -2.7333 0.0000 4.4950" Properties=species:S:1:pos:R:3 pbc="T T T"
Sm 0.0000 0.0000 0.0000
Sm 4.0866 2.3535 0.0000
In 2.7184 0.0000 2.0025
In 6.8050 2.3535 2.0025
Rh 1.3571 2.3535 1.6058
Rh 5.4437 0.0000 1.6058
Au -0.0079 0.0000 3.0353
Au 4.0786 2.3535 3.0353
```